1.
# V4GaMo3 (PBE-GGA, relaxed)
# DFT total energy = -9.159 eV per atom
# N(E_F) = 0.678 states/eV/atom
# Energy of formation = -0.16 eV/atom
# Symmetry = Pmmm
data_V4GaMo3
_chemical_formula_sum 'V4 Ga1 Mo3'
_cell_length_a 3.129
_cell_length_b 4.266
_cell_length_c 8.653
_cell_angle_alpha 90.00
_cell_angle_beta 90.00
_cell_angle_gamma 90.00
_symmetry_space_group_name_H-M 'P 1'
_symmetry_Int_Tables_number 1
_symmetry_space_group_name_Hall 'P 1'
loop_
_atom_site_label
_atom_site_fract_x
_atom_site_fract_y
_atom_site_fract_z
V1 0.000 0.000 0.000
V2 0.000 0.000 0.500
V3 0.000 0.500 0.245
V4 0.000 0.500 0.755
Ga1 0.500 0.500 0.500
Mo1 0.500 0.000 0.259
Mo2 0.500 0.000 0.741
Mo3 0.500 0.500 0.000


2.
# V2GaMo (PBE-GGA, relaxed)
# DFT total energy = -8.192 eV per atom
# N(E_F) = 1.201 states/eV/atom
# Energy of formation = -0.17 eV/atom
# Symmetry = P4/mmm
data_V2GaMo
_chemical_formula_sum 'V2 Ga1 Mo1'
_cell_length_a 4.155
_cell_length_b 4.155
_cell_length_c 3.299
_cell_angle_alpha 90.00
_cell_angle_beta 90.00
_cell_angle_gamma 90.00
_symmetry_space_group_name_H-M 'P 1'
_symmetry_Int_Tables_number 1
_symmetry_space_group_name_Hall 'P 1'
loop_
_atom_site_label
_atom_site_fract_x
_atom_site_fract_y
_atom_site_fract_z
V1 0.000 0.500 0.000
V2 0.500 0.000 0.000
Ga1 0.000 0.000 0.500
Mo1 0.500 0.500 0.500


3.
# VGaMo2 (PBE-GGA, relaxed)
# DFT total energy = -8.497 eV per atom
# N(E_F) = 0.791 states/eV/atom
# Energy of formation = -0.04 eV/atom
# Symmetry = P4/mmm
data_VGaMo2
_chemical_formula_sum 'V1 Ga1 Mo2'
_cell_length_a 3.858
_cell_length_b 3.858
_cell_length_c 4.006
_cell_angle_alpha 90.00
_cell_angle_beta 90.00
_cell_angle_gamma 90.00
_symmetry_space_group_name_H-M 'P 1'
_symmetry_Int_Tables_number 1
_symmetry_space_group_name_Hall 'P 1'
loop_
_atom_site_label
_atom_site_fract_x
_atom_site_fract_y
_atom_site_fract_z
V1 0.000 0.000 0.000
Ga1 0.500 0.500 0.000
Mo1 0.000 0.500 0.500
Mo2 0.500 0.000 0.500